Record 1
LaHf2AgIr | PBE | optimized geometry

Output
The value obtained for the density of states at the Fermi level is 5.0 states/eV per cell. The theoretical density is 10.03 Mg/m³. The calculation puts the formation energy at 0.10 eV per atom.

CIF file:
```
data_LaHf2AgIr
_space_group_name_H-M_alt 'P 4/m m m'
_space_group_IT_number 123
_space_group_name_Hall '-P 4 2'
_cell_length_a 4.990
_cell_length_b 4.990
_cell_length_c 5.291
_cell_angle_alpha 90.00
_cell_angle_beta 90.00
_cell_angle_gamma 90.00
loop_
_atom_site_label
_atom_site_type_symbol
_atom_site_fract_x
_atom_site_fract_y
_atom_site_fract_z
La1 La 0.000 0.000 0.000
Hf1 Hf 0.000 0.500 0.500
Ag1 Ag 0.500 0.500 0.000
Ir1 Ir 0.500 0.500 0.500
```



Record 2
LuHfAgIr | PBE | optimized geometry

Output
The value obtained for the density of states at the Fermi level is 10.8 states/eV per cell. The theoretical density is 13.95 Mg/m³. The calculation puts the formation energy at -0.54 eV per atom.

CIF file:
```
data_LuHfAgIr
_space_group_name_H-M_alt 'F -4 3 m'
_space_group_IT_number 216
_space_group_name_Hall 'F -4 2 3'
_cell_length_a 6.777
_cell_length_b 6.777
_cell_length_c 6.777
_cell_angle_alpha 90.00
_cell_angle_beta 90.00
_cell_angle_gamma 90.00
loop_
_atom_site_label
_atom_site_type_symbol
_atom_site_fract_x
_atom_site_fract_y
_atom_site_fract_z
Lu1 Lu 0.000 0.000 0.000
Hf1 Hf 0.000 0.000 0.500
Ag1 Ag 0.250 0.250 0.250
Ir1 Ir 0.250 0.250 0.750
```



Record 3
HfMgAgIr | PBE | optimized geometry

Output
The value obtained for the density of states at the Fermi level is 11.0 states/eV per cell. The theoretical density is 11.91 Mg/m³. The calculation puts the formation energy at -0.43 eV per atom.

CIF file:
```
data_HfMgAgIr
_space_group_name_H-M_alt 'F -4 3 m'
_space_group_IT_number 216
_space_group_name_Hall 'F -4 2 3'
_cell_length_a 6.545
_cell_length_b 6.545
_cell_length_c 6.545
_cell_angle_alpha 90.00
_cell_angle_beta 90.00
_cell_angle_gamma 90.00
loop_
_atom_site_label
_atom_site_type_symbol
_atom_site_fract_x
_atom_site_fract_y
_atom_site_fract_z
Hf1 Hf 0.000 0.000 0.000
Mg1 Mg 0.000 0.000 0.500
Ag1 Ag 0.250 0.250 0.750
Ir1 Ir 0.250 0.250 0.250
```



Record 4
HfMnAgIr2 | PBE | optimized geometry

Output
The value obtained for the density of states at the Fermi level is 3.4 states/eV per cell. The theoretical density is 11.50 Mg/m³. The calculation puts the formation energy at 1.40 eV per atom.

CIF file:
```
data_HfMnAgIr2
_space_group_name_H-M_alt 'P 4/m m m'
_space_group_IT_number 123
_space_group_name_Hall '-P 4 2'
_cell_length_a 4.855
_cell_length_b 4.855
_cell_length_c 4.446
_cell_angle_alpha 90.00
_cell_angle_beta 90.00
_cell_angle_gamma 90.00
loop_
_atom_site_label
_atom_site_type_symbol
_atom_site_fract_x
_atom_site_fract_y
_atom_site_fract_z
Hf1 Hf 0.000 0.000 0.000
Mn1 Mn 0.500 0.500 0.000
Ag1 Ag 0.500 0.500 0.500
Ir1 Ir 0.000 0.500 0.500
```